GaMoRu2 | PBE-GGA | relaxed

Cell lengths 8.610, 8.610, 8.610 Å; angles 18.92, 18.92, 18.92 degrees
Element x y z (fractional)
Ga 0.000 0.000 0.000
Mo 0.167 0.167 0.167
Ru 0.585 0.585 0.585
Ru 0.748 0.748 0.748

Properties
Fermi-level density of states ... 3.8 states/eV/f.u.
Space group ... R3m
Spin magnetization ... 0.0 μB per formula unit
E ... -8.1893 eV/atom
Energy of formation ... -0.087 eV per atom